Record 1
The following is a PBE-GGA calculation of CaDy3Y4Se8 after structural relaxation, from Alexandria.

Output
SG   R-3m
E_form (uncorrected)   -1.782 eV per atom

a = 8.1851 Å, b = 8.1889 Å, c = 8.1848 Å
α = 119.98°, β = 120.00°, γ = 90.00°
Last column: nearest neighbours and their distance in Å.
Sites, in units of the cell vectors:
Se 0.7491 0.7493 0.9992  2 Dy 2.89, 3 Y 2.89-2.90, 1 Ca 2.90
Se 0.7499 0.2506 0.4998  2 Dy 2.89, 3 Y 2.89-2.90, 1 Ca 2.90
Se 0.2504 0.2512 0.5008  3 Dy 2.89, 3 Y 2.90
Se 0.2509 0.2507 0.0008  2 Dy 2.89, 3 Y 2.89-2.90, 1 Ca 2.90
Se 0.2501 0.7494 0.5002  2 Dy 2.89, 3 Y 2.89-2.90, 1 Ca 2.90
Se 0.7496 0.7488 0.4992  3 Dy 2.89, 3 Y 2.90
Se 0.2501 0.7493 0.9992  2 Dy 2.89, 3 Y 2.89-2.90, 1 Ca 2.90
Se 0.7499 0.2507 0.0008  2 Dy 2.89, 3 Y 2.89-2.90, 1 Ca 2.90
Dy 0.5000 0.5000 0.0000  6 Se 2.89
Dy 0.5000 0.5000 0.5000  6 Se 2.89
Dy 0.0000 0.5000 0.5000  6 Se 2.89
Y 0.5000 0.0000 0.0000  6 Se 2.89
Y 0.0000 0.0000 0.5000  6 Se 2.90
Y 0.0000 0.0000 0.0000  6 Se 2.90
Y 0.5000 0.0000 0.5000  6 Se 2.90
Ca 0.0000 0.5000 0.0000  6 Se 2.90

---

Record 2
The following is a PBE-GGA calculation of PmB2Ir5 after structural relaxation, from Alexandria.

Output
SG   Immm
ΔH_f (0 K)   -0.351 eV/atom

a = 3.9823 Å, b = 5.8870 Å, c = 5.8870 Å
α = 66.48°, β = 70.23°, γ = 70.23°
Last column: nearest neighbours and their distance in Å.
Sites, in units of the cell vectors:
B 0.2406 0.2594 0.2594  3 Ir 2.13-2.17
B 0.7594 0.7406 0.7406  3 Ir 2.13-2.17
Ir 0.3494 0.4437 0.8575  1 B 2.13
Ir 0.6506 0.1425 0.5563  1 B 2.13
Ir 0.0000 0.5000 0.5000  2 B 2.17
Ir 0.6506 0.5563 0.1425  1 B 2.13
Ir 0.3494 0.8575 0.4437  1 B 2.13
Pm 0.0000 0.0000 0.0000  14 Ir 3.06-3.42, 4 B 3.07

---

Record 3
The following is a PBE-GGA calculation of Pr2InNi3Ge4 after structural relaxation, from Alexandria.

Output
SG   P-4m2
ΔH_f (0 K)   -0.599 eV/atom

a = 4.2199 Å, b = 4.2199 Å, c = 10.3539 Å
α = 90.00°, β = 90.00°, γ = 90.00°
Last column: nearest neighbours and their distance in Å.
Sites, in units of the cell vectors:
Ni 0.5000 0.0000 0.8868  5 Ge 2.36-2.41
Ni 0.0000 0.0000 0.5000  4 Ge 2.68, 4 In 2.98
Ni 0.0000 0.5000 0.1132  5 Ge 2.36-2.41
Pr 0.0000 0.5000 0.7670  8 Ge 3.19-3.21, 6 Ni 3.23-3.48, 2 In 3.48
Pr 0.5000 0.0000 0.2330  8 Ge 3.19-3.21, 6 Ni 3.23-3.48, 2 In 3.48
Ge 0.5000 0.5000 0.0000  4 Ni 2.41
Ge 0.0000 0.0000 0.0000  4 Ni 2.41
Ge 0.0000 0.5000 0.3411  1 Ni 2.36
Ge 0.5000 0.0000 0.6589  1 Ni 2.36
In 0.5000 0.5000 0.5000  4 Ge 2.68, 4 Ni 2.98

---

Record 4
The following is a PBE-GGA calculation of SrMgIr2 after structural relaxation, from Alexandria.

Output
SG   P4/mmm
ΔH_f (0 K)   0.074 eV/atom

a = 3.0688 Å, b = 3.0688 Å, c = 7.9335 Å
α = 90.00°, β = 90.00°, γ = 90.00°
Last column: nearest neighbours and their distance in Å.
Sites, in units of the cell vectors:
Sr 0.5000 0.5000 0.7500  4 Sr 3.07, 8 Ir 3.15
Mg 0.5000 0.5000 0.2500  8 Ir 2.75, 4 Mg 3.07
Ir 0.0000 0.0000 0.0372  4 Mg 2.75, 4 Ir 3.07
Ir 0.0000 0.0000 0.4628  4 Mg 2.75, 4 Ir 3.07